No. 1
## SrDyCuTe2S (PBE)

Data for a geometry-optimized SrDyCuTe2S structure.

The space group is Cmcm (No. 63) and the conventional cell measures 4.1879, 14.4455 and 10.5042 Å, with angles of 90.00, 90.00 and 90.00 degrees. The distinct sites, in fractional coordinates, are Sr at (0.0000, 0.2206, 0.2500), Dy at (0.0000, 0.5000, 0.0000), Cu at (0.0000, 0.0203, 0.7500), Te at (0.0000, 0.1464, 0.5652) and S at (0.0000, 0.4350, 0.7500).

The value obtained for the total DFT energy (no corrections) is -114.04 eV/cell.

---

No. 2
## SrDyCuTeS2 (PBE)

Data for a geometry-optimized SrDyCuTeS2 structure.

The space group is Cmcm (No. 63) and the conventional cell measures 4.0183, 14.1752 and 10.8924 Å, with angles of 90.00, 90.00 and 90.00 degrees. The distinct sites, in fractional coordinates, are Sr at (0.0000, 0.2118, 0.2500), Dy at (0.0000, 0.0000, 0.0000), Cu at (0.0000, 0.4796, 0.7500), Te at (0.0000, 0.1007, 0.7500) and S at (0.0000, 0.3810, 0.5789).

The value obtained for the total DFT energy (no corrections) is -121.54 eV/cell.

---

No. 3
## DyCuTeS (PBE)

Data for a geometry-optimized DyCuTeS structure.

The space group is P2_1/c (No. 14) and the conventional cell measures 6.3012, 7.4388 and 7.3952 Å, with angles of 90.00, 93.03 and 90.00 degrees. The distinct sites, in fractional coordinates, are Dy at (0.1411, 0.0224, 0.2727), Cu at (0.4262, 0.6578, 0.4649), Te at (0.3722, 0.1074, 0.7191) and S at (0.0769, 0.7300, 0.4995).

The value obtained for the total DFT energy (no corrections) is -80.86 eV/cell.

---

No. 4
## Dy2CuSb4 (PBE)

Data for a geometry-optimized Dy2CuSb4 structure.

The space group is P-4m2 (No. 115) and the conventional cell measures 4.3504, 4.3504 and 9.3500 Å, with angles of 90.00, 90.00 and 90.00 degrees. The distinct sites, in fractional coordinates, are Dy at (0.0000, 0.5000, 0.2376), Cu at (0.5000, 0.5000, 0.0000), Sb at (0.0000, 0.0000, 0.5000), Sb at (0.0000, 0.5000, 0.8549) and Sb at (0.5000, 0.5000, 0.5000).

The value obtained for the total DFT energy (no corrections) is -34.13 eV/cell.

---

No. 5
## TbDyCu2Sb4 (PBE)

Data for a geometry-optimized TbDyCu2Sb4 structure.

The space group is P4mm (No. 99) and the conventional cell measures 4.3067, 4.3067 and 9.8720 Å, with angles of 90.00, 90.00 and 90.00 degrees. The distinct sites, in fractional coordinates, are Tb at (0.0000, 0.0000, 0.0000), Dy at (0.5000, 0.5000, 0.5014), Cu at (0.0000, 0.5000, 0.2507), Sb at (0.0000, 0.0000, 0.4108), Sb at (0.0000, 0.5000, 0.7507) and Sb at (0.5000, 0.5000, 0.0906).

The value obtained for the total DFT energy (no corrections) is -38.12 eV/cell.

---

No. 6
## DyYCu2Sb4 (PBE)

Data for a geometry-optimized DyYCu2Sb4 structure.

The space group is P4mm (No. 99) and the conventional cell measures 4.3132, 4.3132 and 9.8739 Å, with angles of 90.00, 90.00 and 90.00 degrees. The distinct sites, in fractional coordinates, are Dy at (0.0000, 0.0000, 0.0000), Y at (0.5000, 0.5000, 0.5012), Cu at (0.0000, 0.5000, 0.2505), Sb at (0.0000, 0.0000, 0.4111), Sb at (0.0000, 0.5000, 0.7508) and Sb at (0.5000, 0.5000, 0.0897).

The value obtained for the total DFT energy (no corrections) is -39.94 eV/cell.

---

> What is the total DFT energy (no corrections) in the fourth record?

-34.13 eV/cell

---

> Which of these has the highest total DFT energy (no corrections)?

Dy2CuSb4

---

> Which value of total DFT energy (no corrections) does entry 4 give?

-34.13 eV/cell

---

> Look up the total DFT energy (no corrections) of the second one.

-121.54 eV/cell